Computed, not measured: a relaxed In3Te4 crystal at the PBE-GGA level of DFT.

Calculated values
Energy relative to the elements, uncorrected = -270 meV/atom
DOS at the Fermi energy = 2.91 states/eV per cell
Calculated volume = 39.17 A^3/atom
Energy = -3.239 eV/atom
Offset from the most stable computed form = 0.0000 eV per atom

The structure in POSCAR format:
```
In3Te4
1.0
6.496 0.000 0.000
0.000 6.496 0.000
0.000 0.000 6.496
In Te
3 4
Direct
0.500 0.500 0.000
0.500 0.000 0.500
0.000 0.500 0.500
0.772 0.228 0.228
0.228 0.772 0.228
0.772 0.772 0.772
0.228 0.228 0.772
```